(1)
A relaxed structure of La2Zn2Ga, computed with PBE-GGA.

Cell and atoms, written as extended XYZ:
```
10
Lattice="-1.9512 -6.6903 5.2375 -1.9818 -4.8672 -6.9557 3.3752 -1.1224 -0.1763" Properties=species:S:1:pos:R:3 pbc="T T T"
La -2.9477 -8.7907 -0.4692
Zn 0.7086 -3.7049 1.1833
La -2.2385 -6.0997 -4.0229
La -1.6945 -5.4579 2.3047
Zn -0.8199 -8.4081 1.8613
Ga -1.9665 -5.7788 -0.8591
Zn -1.2664 -8.9750 -3.0778
La -0.9853 -2.7669 -1.2490
Zn 0.2621 -4.2719 -3.7558
Ga 0.0000 0.0000 0.0000
```

Output
Formation energy from the elements ... -0.121 eV per atom
Final energy ... -3.206 eV per atom
Energy above the lowest structure with this stoichiometry ... 0.3098 eV per atom
Spin magnetization ... 0.000 μB per atom

***

(2)
A relaxed structure of La3Zn2Ga4, computed with PBE-GGA.

Cell and atoms, written as extended XYZ:
```
9
Lattice="-4.2154 -0.6600 1.4647 1.7505 -4.3241 -3.8576 3.1110 -2.5273 7.8144" Properties=species:S:1:pos:R:3 pbc="T T T"
La 0.0000 0.0000 0.0000
Ga 1.2196 -1.7253 2.7324
La -0.1370 -3.5376 4.9587
Ga -0.5735 -5.7861 2.6892
Ga 2.7749 -5.1745 5.6545
Ga -2.1289 -2.3369 -0.2329
Zn 1.9439 -5.3269 3.1942
La 0.7830 -3.9738 0.4628
Zn -1.2979 -2.1845 2.2273
```

Output
Formation energy from the elements ... -0.586 eV per atom
Final energy ... -3.857 eV per atom
Spin magnetization ... 0.000 μB per atom

***

(3)
A relaxed structure of LaZn5Ga7, computed with PBE-GGA.

Cell and atoms, written as extended XYZ:
```
13
Lattice="-3.5621 -2.5607 -3.7478 3.1916 -4.3105 -4.5298 -2.5809 -6.1437 2.2091" Properties=species:S:1:pos:R:3 pbc="T T T"
La -3.5523 -2.5793 -3.7445
Zn -1.6665 -9.9402 -7.1520
Ga -3.1712 -7.0368 -1.0611
Zn -2.7621 -9.5791 -1.9513
Ga -4.1028 -8.0631 -3.9160
Zn 0.1004 -8.6700 -5.2930
Ga -2.4047 -7.5239 -5.8984
Ga -0.8670 -7.6588 -2.8261
Ga -2.0856 -5.3537 -3.2429
Ga -0.8632 -3.0166 -1.5600
Ga 0.2116 -5.9625 -5.0102
Zn -2.0913 -9.9923 -4.5096
Zn -4.5290 -10.8493 -3.8103
```

Output
Formation energy from the elements ... -0.158 eV per atom
Final energy ... -2.657 eV per atom
Spin magnetization ... 0.000 μB per atom

***

(4)
A relaxed structure of La2Zn2Ga, computed with PBE-GGA.

Cell and atoms, written as extended XYZ:
```
10
Lattice="4.5586 0.0000 1.0091 2.1288 5.4623 1.1844 0.2229 0.2922 9.7943" Properties=species:S:1:pos:R:3 pbc="T T T"
Zn 4.1463 4.8763 2.8718
Ga 1.6521 1.4241 3.3379
La 0.9461 1.2931 6.5272
La 2.5187 4.0388 10.2245
Zn 2.7641 0.8782 9.1160
Zn 3.7098 2.2716 4.8440
La 4.3917 1.7157 1.7633
Ga 5.2583 4.3303 8.6499
La 5.9643 4.4614 5.4606
Zn 3.2007 3.4828 7.1438
```

Output
Formation energy from the elements ... -0.410 eV per atom
Final energy ... -3.496 eV per atom
Energy above the lowest structure with this stoichiometry ... 0.0202 eV per atom
Spin magnetization ... 0.000 μB per atom